(A)
Below is a geometry-optimized P2WBrO structure, with properties calculated at the PBE+U level.

Output
The calculated volume comes out at 18.59 Å³ per atom.

Cell: 4.8971 4.8971 3.8765 Å, 90.00 90.00 90.00°
Fractional positions:
O (0.0000, 0.0000, 0.5000)
P (0.0000, 0.5000, 0.0000)
P (0.5000, 0.0000, 0.0000)
Br (0.5000, 0.5000, 0.5000)
W (0.0000, 0.0000, 0.0000)



(B)
Below is a geometry-optimized P2WBrO structure, with properties calculated at the PBE+U level.

Output
The calculated volume comes out at 17.45 Å³ per atom.

Cell: 4.8293 4.8293 3.7414 Å, 90.00 90.00 90.00°
Fractional positions:
O (0.0000, 0.0000, 0.5000)
P (0.0000, 0.5000, 0.0000)
P (0.5000, 0.0000, 0.0000)
Br (0.0000, 0.0000, 0.0000)
W (0.5000, 0.5000, 0.5000)



Most stable structure - (A); separation to the second - 1.251 eV/atom.